This record from Alexandria describes a relaxed Ce2HoGa2Au2 crystal. The functional is PBE.

The structure in CIF format:
```
data_Ce2HoGa2Au2
_chemical_formula_sum 'Ce6 Ho3 Ga6 Au6'
_space_group_name_H-M_alt 'R -3 m'
_space_group_IT_number 166
_space_group_name_Hall '-R 3 2"'
_cell_length_a 4.4700
_cell_length_b 4.4700
_cell_length_c 26.6661
_cell_angle_alpha 90.00
_cell_angle_beta 90.00
_cell_angle_gamma 120.00
loop_
_atom_site_label
_atom_site_type_symbol
_atom_site_fract_x
_atom_site_fract_y
_atom_site_fract_z
_atom_site_occupancy
Ce1 Ce 0.0000 0.0000 0.1390 1
Ho1 Ho 0.0000 0.0000 0.0000 1
Ga1 Ga 0.0000 0.0000 0.2615 1
Au1 Au 0.0000 0.0000 0.3991 1
```

Calculated values
As for the total energy: -100.1 eV/cell. The value obtained for the formation energy from the elements is -4.3 eV per formula unit. The calculated density comes out at 10.56 g cm⁻³.

=====

This record from Alexandria describes a relaxed Ba4TlAg crystal. The functional is PBE.

The structure in CIF format:
```
data_Ba4TlAg
_chemical_formula_sum 'Ba4 Tl1 Ag1'
_space_group_name_H-M_alt 'P 4/m m m'
_space_group_IT_number 123
_space_group_name_Hall '-P 4 2'
_cell_length_a 4.260
_cell_length_b 4.260
_cell_length_c 15.279
_cell_angle_alpha 90.00
_cell_angle_beta 90.00
_cell_angle_gamma 90.00
loop_
_atom_site_label
_atom_site_type_symbol
_atom_site_fract_x
_atom_site_fract_y
_atom_site_fract_z
_atom_site_occupancy
Ba1 Ba 0.000 0.000 0.127 1
Ba2 Ba 0.500 0.500 0.365 1
Tl1 Tl 0.000 0.000 0.500 1
Ag1 Ag 0.500 0.500 0.000 1
```

Calculated values
As for the total energy: -14.3 eV/cell. The value obtained for the formation energy from the elements is -1.3 eV per formula unit. The calculated density comes out at 5.16 g cm⁻³.

=====

This record from Alexandria describes a relaxed Dy6Tl6Sn crystal. The functional is PBE.

The structure in CIF format:
```
data_Dy6Tl6Sn
_chemical_formula_sum 'Dy6 Tl6 Sn1'
_space_group_name_H-M_alt 'P 6/m m m'
_space_group_IT_number 191
_space_group_name_Hall '-P 6 2'
_cell_length_a 6.5139
_cell_length_b 6.5139
_cell_length_c 10.3093
_cell_angle_alpha 90.00
_cell_angle_beta 90.00
_cell_angle_gamma 120.00
loop_
_atom_site_label
_atom_site_type_symbol
_atom_site_fract_x
_atom_site_fract_y
_atom_site_fract_z
_atom_site_occupancy
Dy1 Dy 0.0000 0.0000 0.1934 1
Dy2 Dy 0.3333 0.6667 0.0000 1
Dy3 Dy 0.3333 0.6667 0.5000 1
Tl1 Tl 0.0000 0.5000 0.2490 1
Sn1 Sn 0.0000 0.0000 0.5000 1
```

Calculated values
As for the total energy: -48.5 eV/cell. The value obtained for the formation energy from the elements is -2.6 eV per formula unit. The calculated density comes out at 10.17 g cm⁻³.

=====

This record from Alexandria describes a relaxed Cu2AgS4 crystal. The functional is PBE.

The structure in CIF format:
```
data_Cu2AgS4
_chemical_formula_sum 'Cu4 Ag2 S8'
_space_group_name_H-M_alt 'I 4/m m m'
_space_group_IT_number 139
_space_group_name_Hall '-I 4 2'
_cell_length_a 4.672
_cell_length_b 4.672
_cell_length_c 13.550
_cell_angle_alpha 90.00
_cell_angle_beta 90.00
_cell_angle_gamma 90.00
loop_
_atom_site_label
_atom_site_type_symbol
_atom_site_fract_x
_atom_site_fract_y
_atom_site_fract_z
_atom_site_occupancy
Cu1 Cu 0.000 0.000 0.089 1
Ag1 Ag 0.000 0.000 0.500 1
S1 S 0.000 0.000 0.246 1
S2 S 0.000 0.500 0.000 1
```

Calculated values
As for the total energy: -48.4 eV/cell. The calculated density comes out at 4.08 g cm⁻³. For the formation energy without anion corrections, the calculation gives 0.48 eV/atom.

=====

This record from Alexandria describes a relaxed PrEuRh crystal. The functional is PBE.

The structure in CIF format:
```
data_PrEuRh
_chemical_formula_sum 'Pr1 Eu1 Rh1'
_space_group_name_H-M_alt 'P 3 m 1'
_space_group_IT_number 156
_cell_length_a 4.1397
_cell_length_b 4.1397
_cell_length_c 6.5567
_cell_angle_alpha 90.00
_cell_angle_beta 90.00
_cell_angle_gamma 120.00
loop_
_space_group_symop_operation_xyz
'x,y,z'
'-y,x-y,z'
'-x+y,-x,z'
'-y,-x,z'
'-x+y,y,z'
'x,x-y,z'
loop_
_atom_site_label
_atom_site_type_symbol
_atom_site_fract_x
_atom_site_fract_y
_atom_site_fract_z
_atom_site_occupancy
Pr1 Pr 0.0000 0.0000 0.0000 1
Eu1 Eu 0.6667 0.3333 0.4816 1
Rh1 Rh 0.3333 0.6667 0.2269 1
```

Calculated values
As for the total energy: -23.6 eV/cell. The value obtained for the formation energy from the elements is -1.2 eV per formula unit. The calculated density comes out at 6.75 g cm⁻³.

=====

This record from Alexandria describes a relaxed Cs2TbPrSe4 crystal. The functional is PBE.

The structure in CIF format:
```
data_Cs2TbPrSe4
_chemical_formula_sum 'Cs2 Tb1 Pr1 Se4'
_space_group_name_H-M_alt 'P 1 2/m 1'
_space_group_IT_number 10
_cell_length_a 7.555
_cell_length_b 4.360
_cell_length_c 8.768
_cell_angle_alpha 90.00
_cell_angle_beta 106.65
_cell_angle_gamma 90.00
loop_
_space_group_symop_operation_xyz
'x,y,z'
'-x,-y,-z'
'-x,y,-z'
'x,-y,z'
loop_
_atom_site_label
_atom_site_type_symbol
_atom_site_fract_x
_atom_site_fract_y
_atom_site_fract_z
_atom_site_occupancy
Cs1 Cs 0.000 0.000 0.000 1
Cs2 Cs 0.500 0.500 0.000 1
Tb1 Tb 0.000 0.500 0.500 1
Pr1 Pr 0.500 0.000 0.500 1
Se1 Se 0.221 0.000 0.687 1
Se2 Se 0.262 0.500 0.310 1
```

Calculated values
As for the total energy: -38.9 eV/cell. The calculated density comes out at 5.29 g cm⁻³. For the formation energy without anion corrections, the calculation gives -1.73 eV/atom.

=====

This record from Alexandria describes a relaxed In2PAu crystal. The functional is PBE.

The structure in CIF format:
```
data_In2PAu
_chemical_formula_sum 'In8 P4 Au4'
_space_group_name_H-M_alt 'I -4 2 d'
_space_group_IT_number 122
_space_group_name_Hall 'I -4 2bw'
_cell_length_a 6.716
_cell_length_b 6.716
_cell_length_c 9.685
_cell_angle_alpha 90.00
_cell_angle_beta 90.00
_cell_angle_gamma 90.00
loop_
_atom_site_label
_atom_site_type_symbol
_atom_site_fract_x
_atom_site_fract_y
_atom_site_fract_z
_atom_site_occupancy
In1 In 0.230 0.250 0.125 1
P1 P 0.000 0.000 0.000 1
Au1 Au 0.000 0.000 0.500 1
```

Calculated values
As for the total energy: -56.4 eV/cell. The value obtained for the formation energy from the elements is 0.1 eV per formula unit. The calculated density comes out at 6.96 g cm⁻³.

=====

This record from Alexandria describes a relaxed Tl2MoIrC crystal. The functional is PBE.

The structure in CIF format:
```
data_Tl2MoIrC
_chemical_formula_sum 'Tl2 Mo1 Ir1 C1'
_space_group_name_H-M_alt 'P 4/m m m'
_space_group_IT_number 123
_space_group_name_Hall '-P 4 2'
_cell_length_a 5.497
_cell_length_b 5.497
_cell_length_c 4.677
_cell_angle_alpha 90.00
_cell_angle_beta 90.00
_cell_angle_gamma 90.00
loop_
_atom_site_label
_atom_site_type_symbol
_atom_site_fract_x
_atom_site_fract_y
_atom_site_fract_z
_atom_site_occupancy
Tl1 Tl 0.000 0.500 0.000 1
Mo1 Mo 0.000 0.000 0.000 1
Ir1 Ir 0.000 0.000 0.500 1
C1 C 0.500 0.500 0.500 1
```

Calculated values
As for the total energy: -22.4 eV/cell. The value obtained for the formation energy from the elements is 11.2 eV per formula unit. The calculated density comes out at 8.33 g cm⁻³.